# ScReRh2

An optimized crystal structure of ScReRh2 (PBE-GGA, Alexandria via LeMat-Bulk).

Properties
Theoretical density, g/cm³: 11.7
Polymorph energy (0 for the lowest one), eV per atom: 0.101
Fermi-level density of states, states/eV per cell: 4.747
Space group: No. 139
Energy relative to the elements, eV per atom: -0.27

abc: 4.7520 4.7520 4.7520
angles: 129.76 129.73 73.82
With the nearest neighbours (Å) after each atom.
Atoms (fractional coordinates):
1 Sc 0.7500 0.2500 0.5000  8 Rh 2.77, 4 Re 2.85
2 Rh 0.0000 0.0000 0.0000  4 Sc 2.77, 4 Re 2.77, 4 Rh 2.85
3 Rh 0.5000 0.5000 0.0000  4 Re 2.77, 4 Sc 2.77, 4 Rh 2.85
4 Re 0.2500 0.7500 0.5000  8 Rh 2.77, 4 Sc 2.85

=====

# ScRe2Rh

An optimized crystal structure of ScRe2Rh (PBE-GGA, Alexandria via LeMat-Bulk).

Properties
Theoretical density, g/cm³: 13.6
Polymorph energy (0 for the lowest one), eV per atom: 0.136
Fermi-level density of states, states/eV per cell: 3.791
Space group: No. 10
Energy relative to the elements, eV per atom: -0.03

abc: 4.7492 2.7533 4.9224
angles: 80.71 90.00 90.00
With the nearest neighbours (Å) after each atom.
Atoms (fractional coordinates):
1 Sc 0.5000 0.7500 0.7500  2 Rh 2.62, 2 Sc 2.75, 4 Re 2.83
2 Re 0.0000 0.0289 0.9958  4 Re 2.53-2.75, 2 Rh 2.80, 2 Sc 2.83
3 Re 0.0000 0.4711 0.5042  4 Re 2.53-2.75, 2 Rh 2.80, 2 Sc 2.83
4 Rh 0.5000 0.2500 0.2500  2 Sc 2.62, 2 Rh 2.75, 4 Re 2.80

=====

# ScRe2Rh

An optimized crystal structure of ScRe2Rh (PBE-GGA, Alexandria via LeMat-Bulk).

Properties
Theoretical density, g/cm³: 13.6
Polymorph energy (0 for the lowest one), eV per atom: 0.059
Fermi-level density of states, states/eV per cell: 2.767
Space group: No. 123
Energy relative to the elements, eV per atom: -0.10

abc: 4.5787 3.7302 3.7302
angles: 90.00 90.00 90.00
With the nearest neighbours (Å) after each atom.
Atoms (fractional coordinates):
1 Rh 0.5000 0.5000 0.0000  4 Sc 2.64, 8 Re 2.95
2 Re 0.0000 0.0000 0.0000  4 Re 2.64, 4 Sc 2.95, 4 Rh 2.95
3 Re 0.0000 0.5000 0.5000  4 Re 2.64, 4 Rh 2.95, 4 Sc 2.95
4 Sc 0.5000 0.0000 0.5000  4 Rh 2.64, 8 Re 2.95

=====

# ScRe2Rh

An optimized crystal structure of ScRe2Rh (PBE-GGA, Alexandria via LeMat-Bulk).

Properties
Theoretical density, g/cm³: 13.6
Polymorph energy (0 for the lowest one), eV per atom: 0.042
Fermi-level density of states, states/eV per cell: 2.736
Space group: No. 12
Energy relative to the elements, eV per atom: -0.12

abc: 5.1095 5.1095 4.6764
angles: 78.36 78.36 32.07
With the nearest neighbours (Å) after each atom.
Atoms (fractional coordinates):
1 Rh 0.7500 0.7500 0.7500  4 Sc 2.73, 6 Re 2.75-3.03, 2 Rh 2.82
2 Re 0.0132 0.0132 0.9903  6 Re 2.71-2.82, 3 Rh 2.75-3.03, 3 Sc 2.84-2.97
3 Re 0.4868 0.4868 0.5097  6 Re 2.71-2.82, 3 Rh 2.75-3.03, 3 Sc 2.84-2.97
4 Sc 0.2500 0.2500 0.2500  4 Rh 2.73, 2 Sc 2.82, 6 Re 2.84-2.97

=====

# ScReRh2

An optimized crystal structure of ScReRh2 (PBE-GGA, Alexandria via LeMat-Bulk).

Properties
Theoretical density, g/cm³: 11.6
Polymorph energy (0 for the lowest one), eV per atom: 0.188
Fermi-level density of states, states/eV per cell: 3.844
Space group: No. 12
Energy relative to the elements, eV per atom: -0.19

abc: 4.7741 4.7741 4.9508
angles: 81.10 81.10 34.09
With the nearest neighbours (Å) after each atom.
Atoms (fractional coordinates):
1 Rh 0.5025 0.5025 0.4829  6 Rh 2.70-2.99, 3 Re 2.74-2.75, 3 Sc 2.80-2.83
2 Rh 0.9975 0.9975 0.0171  6 Rh 2.70-2.99, 3 Re 2.74-2.75, 3 Sc 2.80-2.83
3 Re 0.2500 0.2500 0.2500  6 Rh 2.74-2.75, 2 Re 2.80, 4 Sc 2.84
4 Sc 0.7500 0.7500 0.7500  6 Rh 2.80-2.83, 2 Sc 2.80, 4 Re 2.84

=====

# ScRe2Rh

An optimized crystal structure of ScRe2Rh (PBE-GGA, Alexandria via LeMat-Bulk).

Properties
Theoretical density, g/cm³: 13.5
Polymorph energy (0 for the lowest one), eV per atom: 0.098
Fermi-level density of states, states/eV per cell: 3.658
Space group: No. 8
Energy relative to the elements, eV per atom: -0.06

abc: 4.7707 4.7707 5.0296
angles: 80.70 80.70 34.46
With the nearest neighbours (Å) after each atom.
Atoms (fractional coordinates):
1 Sc 0.2407 0.2407 0.2847  3 Rh 2.60-2.71, 2 Sc 2.83, 3 Re 2.86-2.88
2 Rh 0.4903 0.4903 0.4705  3 Sc 2.60-2.71, 4 Re 2.80-2.86, 2 Rh 2.83
3 Re 0.7591 0.7591 0.7868  5 Re 2.58-2.83, 2 Rh 2.80, 2 Sc 2.86
4 Re 0.0100 0.0100 0.9580  5 Re 2.58-2.83, 2 Rh 2.86, 1 Sc 2.88

=====

# ScRe2Rh

An optimized crystal structure of ScRe2Rh (PBE-GGA, Alexandria via LeMat-Bulk).

Properties
Theoretical density, g/cm³: 13.5
Polymorph energy (0 for the lowest one), eV per atom: 0.273
Fermi-level density of states, states/eV per cell: 3.943
Space group: No. 47
Energy relative to the elements, eV per atom: 0.11

abc: 2.7612 4.3398 5.3457
angles: 90.00 90.00 90.00
With the nearest neighbours (Å) after each atom.
Atoms (fractional coordinates):
1 Re 0.0000 0.0000 0.4861  4 Re 2.52-2.82
2 Re 0.0000 0.0000 0.0139  4 Re 2.52-2.82
3 Sc 0.5000 0.5000 0.7500  2 Rh 2.67, 2 Sc 2.76, 8 Re 2.93
4 Rh 0.5000 0.5000 0.2500  2 Sc 2.67, 2 Rh 2.76, 8 Re 2.86

=====

# ScReRh

An optimized crystal structure of ScReRh (PBE-GGA, Alexandria via LeMat-Bulk).

Properties
Theoretical density, g/cm³: 9.8
Polymorph energy (0 for the lowest one), eV per atom: 0.470
Fermi-level density of states, states/eV per cell: 4.088
Space group: No. 216
Energy relative to the elements, eV per atom: 0.22

abc: 4.3135 4.3135 4.3135
angles: 60.00 60.00 60.00
With the nearest neighbours (Å) after each atom.
Atoms (fractional coordinates):
1 Sc 0.0000 0.0000 0.0000  4 Rh 2.64
2 Rh 0.2500 0.2500 0.2500  4 Re 2.64, 4 Sc 2.64
3 Re 0.5000 0.5000 0.5000  4 Rh 2.64

=====

# ScReRh2

An optimized crystal structure of ScReRh2 (PBE-GGA, Alexandria via LeMat-Bulk).

Properties
Theoretical density, g/cm³: 11.5
Polymorph energy (0 for the lowest one), eV per atom: 0.142
Fermi-level density of states, states/eV per cell: 3.437
Space group: No. 25
Energy relative to the elements, eV per atom: -0.23

abc: 2.8345 3.9094 5.7104
angles: 90.00 90.00 90.00
With the nearest neighbours (Å) after each atom.
Atoms (fractional coordinates):
1 Re 0.5000 0.5000 0.7901  5 Rh 2.63-2.68, 2 Re 2.83
2 Rh 0.5000 0.5000 0.2596  1 Re 2.68, 4 Sc 2.72, 6 Rh 2.83-2.92
3 Rh 0.0000 0.0000 0.9729  4 Re 2.63, 2 Sc 2.83-2.88, 6 Rh 2.83-2.92
4 Sc 0.0000 0.0000 0.4774  6 Rh 2.72-2.88, 2 Sc 2.83, 4 Re 3.00

=====

# ScReRh

An optimized crystal structure of ScReRh (PBE-GGA, Alexandria via LeMat-Bulk).

Properties
Theoretical density, g/cm³: 11.3
Polymorph energy (0 for the lowest one), eV per atom: 0.000
Fermi-level density of states, states/eV per cell: 3.188
Space group: No. 107
Energy relative to the elements, eV per atom: -0.25

abc: 6.3616 6.3616 2.8554
angles: 77.03 77.03 25.94
With the nearest neighbours (Å) after each atom.
Atoms (fractional coordinates):
1 Rh 0.3453 0.3453 0.6547  4 Re 2.64, 4 Rh 2.86, 4 Sc 2.94
2 Re 0.9867 0.9867 0.0133  4 Rh 2.64, 4 Re 2.86
3 Sc 0.6680 0.6680 0.3320  4 Sc 2.86, 4 Rh 2.94, 4 Re 2.98

=====

# ScReRh2

An optimized crystal structure of ScReRh2 (PBE-GGA, Alexandria via LeMat-Bulk).

Properties
Theoretical density, g/cm³: 11.6
Polymorph energy (0 for the lowest one), eV per atom: 0.058
Fermi-level density of states, states/eV per cell: 4.116
Space group: No. 8
Energy relative to the elements, eV per atom: -0.32

abc: 4.8595 4.8595 4.7985
angles: 80.26 80.26 34.01
With the nearest neighbours (Å) after each atom.
Atoms (fractional coordinates):
1 Sc 0.4933 0.4933 0.5351  7 Rh 2.64-2.83, 2 Sc 2.84, 1 Re 2.90
2 Re 0.2618 0.2618 0.2023  7 Rh 2.64-2.85, 2 Re 2.84, 1 Sc 2.90
3 Rh 0.7440 0.7440 0.7212  3 Sc 2.64-2.73, 4 Re 2.74-2.85, 4 Rh 2.84-2.87
4 Rh 0.0010 0.0010 0.0414  3 Re 2.64-2.67, 4 Sc 2.75-2.83, 4 Rh 2.84-2.87

=====

# ScRe2Rh

An optimized crystal structure of ScRe2Rh (PBE-GGA, Alexandria via LeMat-Bulk).

Properties
Theoretical density, g/cm³: 13.7
Polymorph energy (0 for the lowest one), eV per atom: 0.199
Fermi-level density of states, states/eV per cell: 4.166
Space group: No. 65
Energy relative to the elements, eV per atom: 0.04

abc: 5.0733 5.0733 2.7703
angles: 90.00 90.00 117.55
With the nearest neighbours (Å) after each atom.
Atoms (fractional coordinates):
1 Re 0.5000 0.5000 0.0000  4 Re 2.63-2.77, 4 Rh 2.89, 4 Sc 2.89
2 Re 0.0000 0.0000 0.0000  4 Re 2.63-2.77, 4 Sc 2.89, 4 Rh 2.89
3 Rh 0.5000 0.0000 0.5000  2 Sc 2.63, 2 Rh 2.77, 8 Re 2.89
4 Sc 0.0000 0.5000 0.5000  2 Rh 2.63, 2 Sc 2.77, 8 Re 2.89

=====

Question: Look up the polymorph energy (0 for the lowest one) of the second one.
Answer: 0.136 eV per atom

=====

Question: Which of these has the highest theoretical density?
Answer: number 12

=====

Question: energy relative to the elements of number 4 (ScRe2Rh)?
Answer: -0.12 eV per atom

=====

Question: The lowest Fermi-level density of states belongs to which entry?
Answer: number 4